First-principles (SCAN) data for a PBEsol-optimized structure of BaZnOs, as listed in Alexandria.

It has space group F-43m (No. 216), with a = 7.076 Å, b = 7.076 Å, c = 7.076 Å, α = 90.00°, β = 90.00° and γ = 90.00°. Symmetry generates all atoms from Ba at (0.000, 0.000, 0.000), Zn at (0.250, 0.250, 0.250) and Os at (0.250, 0.250, 0.750).

The density is 7.37 g/cm³. The value obtained for the magnetization is 2.00 μB per formula unit. The value obtained for the total energy is -39.825 eV per atom. The value obtained for the calculated volume is 354.3 Å³ per cell. The formation energy comes out at 175.9 kJ/mol of atoms.